Record 1
The following is a PBE calculation of Ac2InGeRh6 after structural relaxation, from the Alexandria database.

Summary:
Total DFT energy (no corrections), eV per atom: -6.16
Calculated formation energy, kJ/mol of formula units: -183.5

a = 11.7236 Å, b = 6.7792 Å, c = 6.7663 Å
α = 90.00°, β = 125.23°, γ = 90.00°
Space group C2/m (No. 12)
Symmetry-distinct sites (fractional):
Ac  0.2500  0.0000  0.2499 [4 per cell]
In  0.0000  0.0000  0.5000 [2 per cell]
Ge  0.0000  0.5000  0.0000 [2 per cell]
Rh  0.0000  0.2609  0.2392 [8 per cell]
Rh  0.2392  0.5000  0.2391 [4 per cell]

=====

Record 2
The following is a PBE calculation of NdHo6Se8 after structural relaxation, from the Alexandria database.

Summary:
Total DFT energy (no corrections), eV per atom: -5.48
Relative energy among the computed polymorphs, kJ/mol of formula units: 488
E_form (uncorrected), eV/atom: -1.4730

a = 11.0303 Å, b = 11.0303 Å, c = 12.7686 Å
α = 90.00°, β = 90.00°, γ = 120.00°
Space group R-3 (No. 148, hexagonal axes)
Symmetry-distinct sites (fractional):
Nd  0.0000  0.0000  0.0000 [3 per cell]
Ho  0.0165  0.8210  0.3859 [18 per cell]
Se  0.0000  0.0000  0.2341 [6 per cell]
Se  0.0118  0.6195  0.2543 [18 per cell]

=====

Record 3
The following is a PBE calculation of Rb2HfScF6 after structural relaxation, from the Alexandria database.

Summary:
Total DFT energy (no corrections), eV per atom: -5.69
E_form (uncorrected), eV/atom: -2.7415

a = 6.2541 Å, b = 6.2541 Å, c = 8.7804 Å
α = 90.00°, β = 90.00°, γ = 90.00°
Space group I4/mmm (No. 139)
Symmetry-distinct sites (fractional):
Rb  0.0000  0.5000  0.2500 [4 per cell]
Hf  0.0000  0.0000  0.0000 [2 per cell]
Sc  0.0000  0.0000  0.5000 [2 per cell]
F  0.0000  0.0000  0.2473 [4 per cell]
F  0.2466  0.2466  0.5000 [8 per cell]

=====

Record 4
The following is a PBE calculation of Nd4HoCd2 after structural relaxation, from the Alexandria database.

Summary:
Total DFT energy (no corrections), eV per atom: -3.54
Calculated formation energy, kJ/mol of formula units: 65.3

a = 5.6173 Å, b = 5.6173 Å, c = 26.4302 Å
α = 90.00°, β = 90.00°, γ = 120.00°
Space group R-3m (No. 166, hexagonal axes)
Symmetry-distinct sites (fractional):
Nd  0.0000  0.0000  0.1299 [6 per cell]
Nd  0.0000  0.0000  0.2644 [6 per cell]
Ho  0.0000  0.0000  0.5000 [3 per cell]
Cd  0.0000  0.0000  0.3848 [6 per cell]

=====

Record 5
The following is a PBE calculation of Ca2In9Pt3 after structural relaxation, from the Alexandria database.

Summary:
Total DFT energy (no corrections), eV per atom: -3.81
Calculated formation energy, kJ/mol of formula units: -630.7

a = 14.4284 Å, b = 8.3155 Å, c = 11.4960 Å
α = 90.00°, β = 114.89°, γ = 90.00°
Space group C2/c (No. 15)
Symmetry-distinct sites (fractional):
Ca  0.1678  0.0842  0.2502 [8 per cell]
In  0.0000  0.3660  0.2500 [4 per cell]
In  0.0572  0.0724  0.9209 [8 per cell]
In  0.1090  0.3096  0.7492 [8 per cell]
In  0.1103  0.4120  0.0664 [8 per cell]
In  0.2289  0.4106  0.4198 [8 per cell]
Pt  0.0823  0.2504  0.4999 [8 per cell]
Pt  0.2500  0.2500  0.0000 [4 per cell]

=====

Record 6
The following is a PBE calculation of TaBP after structural relaxation, from the Alexandria database.

Summary:
Total DFT energy (no corrections), eV per atom: -8.05
Calculated formation energy, kJ/mol of formula units: -21.6

a = 4.9742 Å, b = 5.1249 Å, c = 6.4188 Å
α = 90.00°, β = 101.62°, γ = 90.00°
Space group C2/m (No. 12)
Symmetry-distinct sites (fractional):
Ta  0.2046  0.0000  0.3412 [4 per cell]
B  0.1531  0.0000  0.9791 [4 per cell]
P  0.1678  0.5000  0.2485 [4 per cell]

=====

Among the records above, which one has the highest total DFT energy (no corrections)?
Nd4HoCd2

=====

The highest total DFT energy (no corrections) belongs to which entry?
Nd4HoCd2

=====

Which value of total DFT energy (no corrections) does entry 5 give?
-3.81 eV per atom

=====

Look up the total DFT energy (no corrections) of the first one.
-6.16 eV per atom